Density functional theory data (PBE+U) for a relaxed CoSnSeO crystal.

Cell lengths 4.408, 4.408, 7.954 Å; angles 90.00, 90.00, 90.00 degrees
Sites, in units of the cell vectors:
1 Co 0.250 0.250 0.151
2 Co 0.750 0.750 0.849
3 Sn 0.250 0.250 0.650
4 Sn 0.750 0.750 0.350
5 Se 0.250 0.750 0.000
6 Se 0.750 0.250 0.000
7 O 0.250 0.250 0.394
8 O 0.750 0.750 0.606

Summary:
Polymorph energy (0 for the lowest one) ... 2.28 eV per formula unit
Calculated total energy ... -0.330 Ry/atom
SG ... P4/nmm, No. 129
Mass density ... 5.859 g cm⁻³